Density functional theory data (PBE) for a relaxed FeSnIr crystal.

a b c (Å): 3.0243 3.0243 12.5560
angles (deg): 90.00 90.00 120.00
Atoms (fractional coordinates):
1 Fe 0.0000 0.0000 0.1537
2 Fe 0.0000 0.0000 0.8463
3 Sn 0.3333 0.6667 0.3255
4 Sn 0.3333 0.6667 0.6745
5 Ir 0.0000 0.0000 0.5000
6 Ir 0.3333 0.6667 0.0000

Results
As for the space-group type: P-6m2. The value obtained for the energy relative to the elements is 0.9 eV per formula unit.

Density functional theory data (PBE) for a relaxed FeSn2Ir2 crystal.

a b c (Å): 6.8017 6.8017 3.8575
angles (deg): 90.00 90.00 90.00
Atoms (fractional coordinates):
1 Fe 0.0000 0.0000 0.0000
2 Fe 0.5000 0.5000 0.0000
3 Sn 0.1646 0.3354 0.5000
4 Sn 0.3354 0.8354 0.5000
5 Sn 0.6646 0.1646 0.5000
6 Sn 0.8354 0.6646 0.5000
7 Ir 0.1413 0.6413 0.0000
8 Ir 0.3587 0.1413 0.0000
9 Ir 0.6413 0.8587 0.0000
10 Ir 0.8587 0.3587 0.0000

Results
As for the space-group type: P4/mbm. The value obtained for the energy relative to the elements is 0.5 eV per formula unit.

Density functional theory data (PBE) for a relaxed FeSnTe2Ir crystal.

a b c (Å): 5.3378 5.3378 5.0082
angles (deg): 90.00 90.00 90.00
Atoms (fractional coordinates):
1 Fe 0.0000 0.0000 0.0000
2 Sn 0.5000 0.5000 0.0000
3 Te 0.0000 0.5000 0.5000
4 Te 0.5000 0.0000 0.5000
5 Ir 0.5000 0.5000 0.5000

Results
As for the space-group type: P4/mmm. The calculation puts the energy relative to the elements, uncorrected at 0.841 eV per atom.

Density functional theory data (PBE) for a relaxed ZnFeSn2Ir crystal.

a b c (Å): 5.0568 5.0568 4.8344
angles (deg): 90.00 90.00 90.00
Atoms (fractional coordinates):
1 Zn 0.0000 0.0000 0.0000
2 Fe 0.5000 0.5000 0.0000
3 Sn 0.0000 0.5000 0.5000
4 Sn 0.5000 0.0000 0.5000
5 Ir 0.0000 0.0000 0.5000

Results
As for the space-group type: P4/mmm. The value obtained for the energy relative to the elements is 3.0 eV per formula unit.

Density functional theory data (PBE) for a relaxed SrFeIr2 crystal.

a b c (Å): 3.0360 3.0360 7.6774
angles (deg): 90.00 90.00 90.00
Atoms (fractional coordinates):
1 Sr 0.0000 0.0000 0.0000
2 Fe 0.0000 0.0000 0.5000
3 Ir 0.5000 0.5000 0.3112
4 Ir 0.5000 0.5000 0.6888

Results
As for the space-group type: P4/mmm. The value obtained for the energy relative to the elements is 0.7 eV per formula unit. As for the energy above the most stable polymorph in this dataset: 224 meV per atom.

Density functional theory data (PBE) for a relaxed SrFe2Ir crystal.

a b c (Å): 3.2271 4.5818 4.7059
angles (deg): 90.00 90.00 90.00
Atoms (fractional coordinates):
1 Sr 0.0000 0.0000 0.0000
2 Fe 0.0000 0.5000 0.5000
3 Fe 0.5000 0.5000 0.0000
4 Ir 0.5000 0.0000 0.5000

Results
As for the space-group type: Pmmm. The value obtained for the energy relative to the elements is 2.8 eV per formula unit.

For reference, mass density by record: 12.25, 12.61, 7.24, 7.40, 12.39, 9.34 g cm⁻³.